The following is a DFT calculation (PBE-GGA) of an optimized crystal structure of Na3TbP2O8.

```
84
Lattice="13.701 -2.628 0.000 13.701 2.628 0.000 -0.286 0.000 13.691" Properties=species:S:1:pos:R:3 pbc="T T T"
Na 0.000 0.000 0.000
Na -0.143 0.000 6.845
Na 3.056 0.063 8.693
Na 3.199 -0.063 1.848
Na 5.986 0.032 4.375
Na 5.842 -0.032 11.220
Na 9.500 0.017 3.215
Na 9.357 -0.017 10.060
Na 12.034 0.217 7.898
Na 12.177 -0.217 1.053
Na 14.939 0.217 12.638
Na 15.082 -0.217 5.793
Na 17.759 0.017 3.631
Na 17.616 -0.017 10.476
Na 21.274 0.032 2.470
Na 21.131 -0.032 9.316
Na 23.917 0.063 11.843
Na 24.060 -0.063 4.997
Tb 13.630 2.092 3.423
Tb 8.669 0.078 6.651
Tb 8.526 -0.078 13.496
Tb 18.590 0.078 0.195
Tb 18.447 -0.078 7.040
Tb 13.487 -2.092 10.268
P 2.813 0.067 12.175
P 2.956 -0.067 5.329
P 6.238 0.019 1.431
P 6.095 -0.019 8.277
P 11.875 0.209 11.612
P 12.019 -0.209 4.766
P 15.098 0.209 8.924
P 15.241 -0.209 2.079
P 21.021 0.019 5.414
P 20.878 -0.019 12.259
P 24.160 0.067 8.362
P 24.304 -0.067 1.516
O 8.083 1.434 4.824
O 7.851 1.320 11.752
O 1.419 0.054 5.134
O 10.095 1.730 7.198
O 1.276 -0.054 11.979
O 3.715 0.293 4.049
O 12.364 1.686 11.660
O 10.236 1.113 1.087
O 3.572 -0.293 10.895
O 14.609 1.686 8.876
O 6.098 0.036 6.728
O 5.955 -0.036 13.574
O 7.574 0.031 8.739
O 7.717 -0.031 1.893
O 16.878 1.730 13.338
O 12.918 0.716 5.622
O 10.405 0.190 12.092
O 12.065 0.366 3.325
O 14.341 0.716 1.223
O 17.023 1.113 5.758
O 10.548 -0.190 5.247
O 19.176 1.434 2.022
O 19.122 1.320 8.784
O 15.194 0.366 3.520
O 11.922 -0.366 10.171
O 7.995 -1.320 4.907
O 7.940 -1.434 11.669
O 16.568 0.190 8.444
O 10.093 -1.113 7.932
O 12.775 -0.716 12.468
O 15.051 -0.366 10.366
O 16.711 -0.190 1.598
O 14.198 -0.716 8.069
O 10.238 -1.730 0.352
O 19.399 0.031 11.797
O 19.543 -0.031 4.952
O 21.162 0.036 0.117
O 21.019 -0.036 6.962
O 12.507 -1.686 4.814
O 23.544 0.293 2.796
O 16.880 -1.113 12.604
O 14.752 -1.686 2.031
O 23.401 -0.293 9.641
O 25.840 0.054 1.712
O 17.021 -1.730 6.493
O 25.697 -0.054 8.557
O 19.265 -1.320 1.939
O 19.033 -1.434 8.867
```

M_tot   0.03 Bohr magnetons per cell
Final energy   -568.459 eV for the cell shown